No. 1
This record from Alexandria via LeMat-Bulk describes a relaxed structure of Cd3Hg. The functional is PBE.

Cell: 6.5149 6.5149 6.5149 Å, 153.41 57.58 129.93°
Atoms (fractional coordinates):
1 Cd 0.0000 0.0000 0.0000
2 Cd 0.2444 0.4985 0.7459
3 Cd 0.7526 0.4985 0.2541
4 Hg 0.5000 0.0000 0.5000

Computed properties:
**E_form**: 0.0156 eV/atom
**Symmetry**: Imm2 (44)

=====

No. 2
This record from Alexandria via LeMat-Bulk describes a relaxed structure of Cd4Hg. The functional is PBE.

Cell: 5.2556 5.2719 9.8658 Å, 101.77 101.49 103.76°
Atoms (fractional coordinates):
1 Cd 0.0000 0.0000 0.0000
2 Cd 0.0724 0.5768 0.1657
3 Cd 0.1572 0.1620 0.3232
4 Cd 0.2508 0.7657 0.5123
5 Cd 0.3369 0.3468 0.6649
6 Cd 0.5026 0.5189 0.0122
7 Cd 0.7501 0.2567 0.4990
8 Cd 0.9103 0.4135 0.8221
9 Hg 0.4219 0.9305 0.8374
10 Hg 0.6623 0.6729 0.3390

Computed properties:
**E_form**: 0.0464 eV/atom
**Symmetry**: P1 (1)
**Energy above the most stable polymorph in this dataset**: 28 meV per atom